Record 1
Ti4BP: optimized geometry, PBE.

Cell lengths 5.6691, 5.6839, 5.6206 Å; angles 90.00, 90.01, 90.00 degrees
With the nearest neighbours (Å) after each atom.
Fractional positions:
Ti: 0.1345 0.1605 0.1596  2 B 2.25-2.26, 1 P 2.44
Ti: 0.1345 0.3395 0.6596  2 B 2.25-2.26, 1 P 2.44
Ti: 0.3376 0.6374 0.1350  1 B 2.20, 2 P 2.38
Ti: 0.3376 0.8626 0.6350  1 B 2.20, 2 P 2.38
Ti: 0.6624 0.1374 0.3650  1 B 2.20, 2 P 2.38
Ti: 0.6624 0.3626 0.8650  1 B 2.20, 2 P 2.38
Ti: 0.8655 0.6605 0.3404  2 B 2.25-2.26, 1 P 2.44
Ti: 0.8655 0.8395 0.8404  2 B 2.25-2.26, 1 P 2.44
B: 0.0000 0.0000 0.5000  6 Ti 2.20-2.26
B: 0.0000 0.5000 0.0000  6 Ti 2.20-2.26
P: 0.5000 0.0000 0.0000  6 Ti 2.38-2.44
P: 0.5000 0.5000 0.5000  6 Ti 2.38-2.44

Computed properties:
ΔE_f in eV/f.u.: -3.02
Raw total energy in eV per atom: -7.78



Record 2
Ti2B2P: optimized geometry, PBE.

Cell lengths 4.9391, 4.9391, 4.9391 Å; angles 132.86, 132.86, 68.87 degrees
With the nearest neighbours (Å) after each atom.
Fractional positions:
Ti: 0.2500 0.7500 0.5000  4 B 2.33
Ti: 0.7500 0.2500 0.5000  4 B 2.33
B: 0.0980 0.0980 0.0000  1 B 1.60
B: 0.9020 0.9020 0.0000  1 B 1.60
P: 0.5000 0.5000 0.0000  8 Ti 2.84, 8 B 2.90

Computed properties:
ΔE_f in eV/f.u.: 0.77
Raw total energy in eV per atom: -6.76
Offset from the most stable computed form in meV/atom: 688